Entry 1:
Cu2AuSe | Alexandria via LeMat-Bulk | PBE | optimized geometry; electronic total energy = -3.59 eV per atom; formation energy without anion corrections = 0.58 eV per formula unit
1.0
-2.665 2.429 -0.899
-1.178 -3.231 -5.240
-2.788 -3.823 -2.065
Cu Au Se
2 1 1
direct
0.500 0.500 0.000
0.000 0.000 0.000
0.000 0.000 0.500
0.500 0.500 0.500



Entry 2:
CuAu3Se | Alexandria via LeMat-Bulk | PBE | optimized geometry; electronic total energy = -2.82 eV per atom; formation energy without anion corrections = 3.33 eV per formula unit
1.0
4.776 0.000 0.000
0.000 4.776 0.000
0.000 0.000 4.776
Au Se Cu
3 1 1
direct
0.000 0.500 0.000
0.500 0.000 0.000
0.000 0.000 0.500
0.500 0.500 0.500
0.000 0.000 0.000



- Which of these has the highest formation energy without anion corrections?
  CuAu3Se



Repeat the first record exactly.
Cu2AuSe | Alexandria via LeMat-Bulk | PBE | optimized geometry; electronic total energy = -3.59 eV per atom; formation energy without anion corrections = 0.58 eV per formula unit
1.0
-2.665 2.429 -0.899
-1.178 -3.231 -5.240
-2.788 -3.823 -2.065
Cu Au Se
2 1 1
direct
0.500 0.500 0.000
0.000 0.000 0.000
0.000 0.000 0.500
0.500 0.500 0.500